DFT (PBE) results for crystalline TlSiPb at its relaxed geometry.

Cell and atoms, written as POSCAR:
```
TlSiPb
1.0
3.595 0.000 0.000
0.000 3.595 0.000
0.000 0.000 12.435
Tl Si Pb
2 2 2
direct
0.000 0.000 0.000
0.500 0.500 0.500
0.000 0.000 0.349
0.500 0.500 0.849
0.000 0.000 0.717
0.500 0.500 0.217
```

Computed properties:
**ρ**: 9.09 g/cm³
**Volume**: 26.8 A^3/atom
**Formation energy (no corrections)**: 1.04 eV per formula unit
**Total moment**: 0.00 μB per atom
**Energy above the most stable polymorph in this dataset**: 0 meV per atom
**Final energy**: -20.91 eV per cell


DFT (PBE) results for crystalline Ba2CdH6Au at its relaxed geometry.

Cell and atoms, written as POSCAR:
```
Ba2CdH6Au
1.0
4.181 -4.185 0.000
4.181 4.185 0.000
-4.181 0.000 4.193
Ba Cd H Au
2 1 6 1
direct
0.250 0.750 0.000
0.750 0.250 0.000
0.000 0.000 0.500
0.265 0.265 0.032
0.266 0.266 0.498
0.268 0.732 0.500
0.732 0.268 0.500
0.734 0.734 0.502
0.735 0.735 0.968
0.500 0.500 0.500
```

Computed properties:
**ρ**: 6.68 g/cm³
**Volume**: 14.7 A^3/atom
**Total moment**: 0.00 μB per atom
**Final energy**: -30.46 eV per cell